Entry 1:
Density functional theory data (GGA-PBE) for a geometry-optimized OsC3Br structure.

Cell: 4.070 4.070 4.070 Å, 90.00 90.00 90.00°
Space group Pm-3m (No. 221)
Unique sites:
Os  0.000  0.000  0.000 [1 per cell]
C  0.000  0.000  0.500 [3 per cell]
Br  0.500  0.500  0.500 [1 per cell]

Values from the calculation:
N(E_F) (states/eV/f.u.): 2.54

Entry 2:
Density functional theory data (GGA-PBE) for a geometry-optimized NiTe2I structure.

Cell: 6.435 11.002 6.747 Å, 90.00 90.00 90.00°
Space group Pna2_1 (No. 33)
Unique sites:
Ni  0.105  0.109  0.000 [4 per cell]
Te  0.042  0.513  0.510 [4 per cell]
Te  0.246  0.803  0.619 [4 per cell]
I  0.020  0.106  0.618 [4 per cell]

Values from the calculation:
N(E_F) (states/eV/f.u.): 2.80

Energy relative to the elements, uncorrected / eV/atom: 1.970 -0.065